# PW2Br (PBE, optimized geometry)
data_PW2Br
_chemical_formula_sum 'P1 W2 Br1'
_cell_length_a 3.1186
_cell_length_b 3.1186
_cell_length_c 7.8310
_cell_angle_alpha 90.00
_cell_angle_beta 90.00
_cell_angle_gamma 90.00
_symmetry_space_group_name_H-M 'P 1'
_symmetry_Int_Tables_number 1
_symmetry_space_group_name_Hall 'P 1'
loop_
_atom_site_label
_atom_site_type_symbol
_atom_site_fract_x
_atom_site_fract_y
_atom_site_fract_z
P1 P 0.0000 0.0000 0.0000
W1 W 0.0000 0.0000 0.3651
W2 W 0.5000 0.5000 0.1393
Br1 Br 0.5000 0.5000 0.5937
# theoretical density	10434	kg/m3
# DFT total energy	-7.982	eV per atom
# energy above the lowest structure with this stoichiometry	165.9	meV per atom
# DOS at the Fermi energy	0.681	states/eV per atom


# PWBr2 (PBE, optimized geometry)
data_PWBr2
_chemical_formula_sum 'P1 W1 Br2'
_cell_length_a 4.3862
_cell_length_b 4.3862
_cell_length_c 4.1639
_cell_angle_alpha 90.00
_cell_angle_beta 90.00
_cell_angle_gamma 90.00
_symmetry_space_group_name_H-M 'P 1'
_symmetry_Int_Tables_number 1
_symmetry_space_group_name_Hall 'P 1'
loop_
_atom_site_label
_atom_site_type_symbol
_atom_site_fract_x
_atom_site_fract_y
_atom_site_fract_z
P1 P 0.0000 0.0000 0.0000
W1 W 0.5000 0.5000 0.0000
Br1 Br 0.0000 0.5000 0.5000
Br2 Br 0.5000 0.0000 0.5000
# theoretical density	7765	kg/m3
# DFT total energy	-3.925	eV per atom
# energy above the lowest structure with this stoichiometry	1588.6	meV per atom
# DOS at the Fermi energy	0.664	states/eV per atom


# P2WBr (PBE, optimized geometry)
data_P2WBr
_chemical_formula_sum 'P2 W1 Br1'
_cell_length_a 3.0152
_cell_length_b 4.5659
_cell_length_c 4.6558
_cell_angle_alpha 90.00
_cell_angle_beta 90.00
_cell_angle_gamma 90.00
_symmetry_space_group_name_H-M 'P 1'
_symmetry_Int_Tables_number 1
_symmetry_space_group_name_Hall 'P 1'
loop_
_atom_site_label
_atom_site_type_symbol
_atom_site_fract_x
_atom_site_fract_y
_atom_site_fract_z
P1 P 0.0000 0.0000 0.0000
P2 P 0.5000 0.0000 0.5000
W1 W 0.0000 0.5000 0.5000
Br1 Br 0.5000 0.5000 0.0000
# theoretical density	8438	kg/m3
# DFT total energy	-5.305	eV per atom
# energy above the lowest structure with this stoichiometry	1073.0	meV per atom
# DOS at the Fermi energy	0.727	states/eV per atom


# PW2Br (PBE, optimized geometry)
data_PW2Br
_chemical_formula_sum 'P1 W2 Br1'
_cell_length_a 3.2688
_cell_length_b 3.1376
_cell_length_c 8.1799
_cell_angle_alpha 90.00
_cell_angle_beta 97.90
_cell_angle_gamma 90.00
_symmetry_space_group_name_H-M 'P 1'
_symmetry_Int_Tables_number 1
_symmetry_space_group_name_Hall 'P 1'
loop_
_atom_site_label
_atom_site_type_symbol
_atom_site_fract_x
_atom_site_fract_y
_atom_site_fract_z
P1 P 0.0000 0.0000 0.0000
W1 W 0.4528 0.5000 0.8631
W2 W 0.8857 0.0000 0.6681
Br1 Br 0.8000 0.5000 0.4189
# theoretical density	9563	kg/m3
# DFT total energy	-8.148	eV per atom
# energy above the lowest structure with this stoichiometry	0.0	meV per atom
# DOS at the Fermi energy	0.800	states/eV per atom


# PW2Br (PBE, optimized geometry)
data_PW2Br
_chemical_formula_sum 'P1 W2 Br1'
_cell_length_a 4.3944
_cell_length_b 4.3944
_cell_length_c 3.1093
_cell_angle_alpha 90.00
_cell_angle_beta 90.00
_cell_angle_gamma 90.00
_symmetry_space_group_name_H-M 'P 1'
_symmetry_Int_Tables_number 1
_symmetry_space_group_name_Hall 'P 1'
loop_
_atom_site_label
_atom_site_type_symbol
_atom_site_fract_x
_atom_site_fract_y
_atom_site_fract_z
P1 P 0.0000 0.0000 0.0000
W1 W 0.0000 0.5000 0.5000
W2 W 0.5000 0.0000 0.5000
Br1 Br 0.5000 0.5000 0.0000
# theoretical density	13235	kg/m3
# DFT total energy	-7.438	eV per atom
# energy above the lowest structure with this stoichiometry	710.4	meV per atom
# DOS at the Fermi energy	0.645	states/eV per atom


# PW2Br (PBE, optimized geometry)
data_PW2Br
_chemical_formula_sum 'P1 W2 Br1'
_cell_length_a 4.4062
_cell_length_b 4.4062
_cell_length_c 7.4901
_cell_angle_alpha 117.99
_cell_angle_beta 117.99
_cell_angle_gamma 43.54
_symmetry_space_group_name_H-M 'P 1'
_symmetry_Int_Tables_number 1
_symmetry_space_group_name_Hall 'P 1'
loop_
_atom_site_label
_atom_site_type_symbol
_atom_site_fract_x
_atom_site_fract_y
_atom_site_fract_z
P1 P 0.0000 0.0000 0.0000
W1 W 0.2278 0.2278 0.8648
W2 W 0.7722 0.7722 0.1352
Br1 Br 0.5000 0.5000 0.5000
# theoretical density	9193	kg/m3
# DFT total energy	-7.800	eV per atom
# energy above the lowest structure with this stoichiometry	347.9	meV per atom
# DOS at the Fermi energy	0.525	states/eV per atom


# PW2Br (PBE, optimized geometry)
data_PW2Br
_chemical_formula_sum 'P2 W4 Br2'
_cell_length_a 6.4724
_cell_length_b 6.4724
_cell_length_c 6.4724
_cell_angle_alpha 126.63
_cell_angle_beta 126.63
_cell_angle_gamma 78.85
_symmetry_space_group_name_H-M 'P 1'
_symmetry_Int_Tables_number 1
_symmetry_space_group_name_Hall 'P 1'
loop_
_atom_site_label
_atom_site_type_symbol
_atom_site_fract_x
_atom_site_fract_y
_atom_site_fract_z
P1 P 0.0000 0.0000 0.0000
P2 P 0.7500 0.2500 0.5000
W1 W 0.1029 0.6250 0.9779
W2 W 0.3750 0.3529 0.4779
W3 W 0.6471 0.1250 0.0221
W4 W 0.8750 0.8971 0.5221
Br1 Br 0.2500 0.7500 0.5000
Br2 Br 0.5000 0.5000 0.0000
# theoretical density	9408	kg/m3
# DFT total energy	-6.997	eV per atom
# energy above the lowest structure with this stoichiometry	1150.5	meV per atom
# DOS at the Fermi energy	1.216	states/eV per atom


# P2WBr (PBE, optimized geometry)
data_P2WBr
_chemical_formula_sum 'P2 W1 Br1'
_cell_length_a 4.4946
_cell_length_b 4.4946
_cell_length_c 4.4946
_cell_angle_alpha 60.00
_cell_angle_beta 60.00
_cell_angle_gamma 60.00
_symmetry_space_group_name_H-M 'P 1'
_symmetry_Int_Tables_number 1
_symmetry_space_group_name_Hall 'P 1'
loop_
_atom_site_label
_atom_site_type_symbol
_atom_site_fract_x
_atom_site_fract_y
_atom_site_fract_z
P1 P 0.2500 0.2500 0.2500
P2 P 0.7500 0.7500 0.7500
W1 W 0.0000 0.0000 0.0000
Br1 Br 0.5000 0.5000 0.5000
# theoretical density	8424	kg/m3
# DFT total energy	-5.334	eV per atom
# energy above the lowest structure with this stoichiometry	1043.9	meV per atom
# DOS at the Fermi energy	1.180	states/eV per atom


The lowest DOS at the Fermi energy belongs to which entry? number 6